The following is a DFT calculation (PBE) of a relaxed NaLuBr2 crystal.

Cell: 3.9906 3.9906 9.2935 Å, 77.60 77.60 60.00°
Last column: nearest neighbours and their distance in Å.
Sites, in units of the cell vectors:
Br: 0.1008 0.1008 0.6975  1 Lu 2.72, 3 Na 2.91
Br: 0.8992 0.8992 0.3025  1 Lu 2.72, 3 Na 2.91
Na: 0.5000 0.5000 0.5000  6 Br 2.91
Lu: 0.0000 0.0000 0.0000  2 Br 2.72

density = 4.78 Mg/m³
magnetization = 0.000 Bohr magnetons per cell
E_form (uncorrected) = -1.141 eV/atom

The following is a DFT calculation (PBE) of a relaxed Na3LuBr6 crystal.

Cell: 7.7294 7.2539 12.9516 Å, 56.51 90.00 90.00°
Last column: nearest neighbours and their distance in Å.
Sites, in units of the cell vectors:
Br: 0.8193 0.3735 0.9358  1 Lu 2.74, 2 Na 2.91-3.01
Br: 0.0622 0.9079 0.2346  1 Lu 2.77, 3 Na 3.03-3.10
Br: 0.4378 0.9079 0.7346  1 Lu 2.77, 3 Na 3.03-3.10
Br: 0.5622 0.0921 0.2654  1 Lu 2.77, 3 Na 3.03-3.10
Br: 0.1807 0.6265 0.0642  1 Lu 2.74, 2 Na 2.91-3.01
Br: 0.7008 0.7505 0.0811  1 Lu 2.76, 1 Na 2.99
Br: 0.2992 0.2495 0.9189  1 Lu 2.76, 1 Na 2.99
Br: 0.7992 0.7505 0.5811  1 Lu 2.76, 1 Na 2.99
Br: 0.9378 0.0921 0.7654  1 Lu 2.77, 3 Na 3.03-3.10
Br: 0.3193 0.6265 0.5642  1 Lu 2.74, 2 Na 2.91-3.01
Br: 0.6807 0.3735 0.4358  1 Lu 2.74, 2 Na 2.91-3.01
Br: 0.2008 0.2495 0.4189  1 Lu 2.76, 1 Na 2.99
Lu: 0.5000 0.0000 0.5000  6 Br 2.74-2.77
Lu: 0.0000 0.0000 0.0000  6 Br 2.74-2.77
Na: 0.4158 0.7057 0.2626  5 Br 3.01-3.23
Na: 0.0000 0.5000 0.5000  6 Br 2.91-3.10
Na: 0.5000 0.5000 0.0000  6 Br 2.91-3.10
Na: 0.5842 0.2943 0.7374  5 Br 3.01-3.23
Na: 0.0842 0.7057 0.7626  5 Br 3.01-3.23
Na: 0.9158 0.2943 0.2374  5 Br 3.01-3.23

density = 3.97 Mg/m³
magnetization = 0.000 Bohr magnetons per cell
E_form (uncorrected) = -1.668 eV/atom

Number 1: D(E_F) 1.3 states/eV per cell. Number 2: D(E_F) 0.0 states/eV per cell.